Entry 1:
Material: Ac2NiC2N6
Method: DFT, PBE-GGA
State: optimized geometry

Results
The crystal system is monoclinic. As for the formation energy without anion corrections: -39.2 kJ/mol of atoms. As for the total energy: -7.897 eV per atom.

Cell lengths 4.882, 5.957, 6.124 Å; angles 114.53, 90.00, 114.19 degrees
Last column: magnetic moment on the atom in μB.
Element x y z (fractional)
Ac (0.696, 0.392, 0.204)  0.02
Ac (0.304, 0.608, 0.796)  0.02
Ni (0.500, 0.000, 0.500)  0.38
C (0.984, 0.968, 0.724)  -0.01
C (0.016, 0.032, 0.276)  -0.01
N (0.851, 0.701, 0.669)  0.02
N (0.175, 0.879, 0.240)  0.12
N (0.297, 0.121, 0.760)  0.12
N (0.825, 0.121, 0.760)  0.12
N (0.703, 0.879, 0.240)  0.12
N (0.149, 0.299, 0.331)  0.02

=====

Entry 2:
Material: LaTcP2
Method: DFT, PBE-GGA
State: optimized geometry

Results
The crystal system is tetragonal. As for the total energy: -6.875 eV per atom. Its energy above the most stable polymorph in this dataset is 0.5652 eV/atom.

Cell lengths 3.272, 3.272, 6.731 Å; angles 90.00, 90.00, 90.00 degrees
Element x y z (fractional)
La (0.500, 0.500, 0.772)
P (0.000, 0.000, 0.052)
P (0.500, 0.500, 0.270)
Tc (0.000, 0.000, 0.405)

=====

Entry 3:
Material: CdTc2Pb
Method: DFT, PBE-GGA
State: optimized geometry

Results
The crystal system is monoclinic. As for the total energy: -5.657 eV per atom. Its energy above the most stable polymorph in this dataset is 0.4730 eV/atom.

Cell lengths 4.666, 3.152, 5.337 Å; angles 87.81, 90.00, 90.00 degrees
Element x y z (fractional)
Cd (0.500, 0.250, 0.250)
Pb (0.500, 0.750, 0.750)
Tc (0.000, 0.908, 0.047)
Tc (0.000, 0.592, 0.453)

=====

Entry 4:
Material: ZrRe2Ru
Method: DFT, PBE-GGA
State: optimized geometry

Results
The crystal system is tetragonal. As for the total energy: -10.120 eV per atom. Its energy above the most stable polymorph in this dataset is 0.5884 eV/atom.

Cell lengths 7.456, 7.456, 5.865 Å; angles 50.53, 50.53, 90.00 degrees
Element x y z (fractional)
Re (0.659, 0.125, 0.250)
Re (0.091, 0.625, 0.250)
Re (0.375, 0.341, 0.750)
Re (0.875, 0.909, 0.750)
Zr (0.500, 0.500, 0.000)
Zr (0.250, 0.750, 0.500)
Ru (0.000, 0.000, 0.000)
Ru (0.750, 0.250, 0.500)

=====

Entry 5:
Material: NdDy5YEr2
Method: DFT, PBE-GGA
State: optimized geometry

Results
The crystal system is orthorhombic. As for the total energy: -4.659 eV per atom.

Cell lengths 5.600, 10.274, 10.587 Å; angles 90.00, 90.00, 105.81 degrees
Element x y z (fractional)
Nd (0.584, 0.168, 0.952)
Nd (0.416, 0.832, 0.452)
Dy (0.389, 0.777, 0.023)
Dy (0.718, 0.436, 0.811)
Dy (0.479, 0.957, 0.737)
Dy (0.299, 0.597, 0.710)
Dy (0.982, 0.964, 0.524)
Dy (0.611, 0.223, 0.523)
Dy (0.282, 0.564, 0.311)
Dy (0.521, 0.043, 0.237)
Dy (0.701, 0.403, 0.210)
Dy (0.018, 0.036, 0.024)
Y (0.799, 0.599, 0.512)
Y (0.201, 0.401, 0.012)
Er (0.886, 0.772, 0.819)
Er (0.111, 0.222, 0.735)
Er (0.114, 0.228, 0.319)
Er (0.889, 0.778, 0.235)

=====

Entry 6:
Material: NbVRh4
Method: DFT, PBE-GGA
State: optimized geometry

Results
The crystal system is orthorhombic. As for the total energy: -8.285 eV per atom. Its energy above the most stable polymorph in this dataset is 0.0627 eV/atom.

Cell lengths 2.744, 7.474, 8.701 Å; angles 90.00, 90.00, 90.00 degrees
Element x y z (fractional)
Nb (0.000, 0.181, 0.250)
Nb (0.000, 0.819, 0.750)
V (0.000, 0.545, 0.250)
V (0.000, 0.455, 0.750)
Rh (0.500, 0.330, 0.019)
Rh (0.500, 0.330, 0.481)
Rh (0.500, 0.670, 0.981)
Rh (0.500, 0.670, 0.519)
Rh (0.500, 0.852, 0.250)
Rh (0.500, 0.148, 0.750)
Rh (0.000, 0.000, 0.000)
Rh (0.000, 0.000, 0.500)

=====

Entry 7:
Material: ThAg3Hg3
Method: DFT, PBE-GGA
State: optimized geometry

Results
The crystal system is cubic. As for the total energy: -1.772 eV per atom.

Cell lengths 7.473, 7.473, 7.473 Å; angles 90.00, 90.00, 90.00 degrees
Last column: magnetic moment on the atom in μB.
Element x y z (fractional)
Ag (0.000, 0.250, 0.500)  0.00
Ag (0.000, 0.750, 0.500)  0.00
Ag (0.500, 0.000, 0.750)  0.00
Ag (0.750, 0.500, 0.000)  0.00
Ag (0.500, 0.000, 0.250)  0.00
Ag (0.250, 0.500, 0.000)  0.00
Hg (0.250, 0.000, 0.500)  0.00
Hg (0.000, 0.500, 0.250)  0.00
Hg (0.500, 0.750, 0.000)  0.00
Hg (0.750, 0.000, 0.500)  0.00
Hg (0.000, 0.500, 0.750)  0.00
Hg (0.500, 0.250, 0.000)  0.00
Th (0.500, 0.500, 0.500)  0.36
Th (0.000, 0.000, 0.000)  0.36

=====

Entry 8:
Material: PrYHo2As4
Method: DFT, PBE-GGA
State: optimized geometry

Results
The crystal system is monoclinic. As for the total energy: -6.392 eV per atom.

Cell lengths 4.163, 7.204, 7.203 Å; angles 70.53, 90.00, 90.00 degrees
Element x y z (fractional)
Pr (0.500, 0.500, 0.000)
Y (0.000, 0.500, 0.500)
Ho (0.000, 0.000, 0.000)
Ho (0.500, 0.000, 0.500)
As (0.000, 0.759, 0.742)
As (0.000, 0.241, 0.258)
As (0.500, 0.756, 0.253)
As (0.500, 0.244, 0.747)